# 1
This record from Alexandria via LeMat-Bulk describes an optimized crystal structure of SrHg2W. The functional is PBE-GGA.

Results
The energy of formation is 0.63 eV per atom. Its density of states at the Fermi level is 0.44 states/eV/atom. The volume comes out at 22.17 A^3/atom. The raw total energy comes out at -12.72 eV/cell. The offset from the most stable computed form comes out at 0.403 eV/f.u.

a b c (Å): 7.441 5.415 3.100
angles (deg): 90.00 65.39 124.60
Element x y z (fractional)
Sr  0.000  0.500  0.500
W  0.500  0.500  0.000
Hg  0.500  0.000  0.500
Hg  0.000  0.000  0.000


# 2
This record from Alexandria via LeMat-Bulk describes an optimized crystal structure of K6CoBr8. The functional is PBE-GGA.

Results
Its density of states at the Fermi level is 0.05 states/eV/atom. As for the uncorrected formation energy: -1.395 eV per atom. The volume comes out at 34.61 A^3/atom. The raw total energy comes out at -47.99 eV/cell.

a b c (Å): 8.449 8.449 8.449
angles (deg): 70.54 70.54 70.54
Element x y z (fractional)
K  0.056  0.478  0.704
K  0.704  0.056  0.478
K  0.944  0.522  0.296
Br  0.345  0.345  0.345
Br  0.149  0.702  0.907
K  0.522  0.296  0.944
Co  0.000  0.000  0.000
Br  0.702  0.907  0.149
Br  0.093  0.851  0.298
K  0.296  0.944  0.522
Br  0.298  0.093  0.851
Br  0.851  0.298  0.093
Br  0.907  0.149  0.702
K  0.478  0.704  0.056
Br  0.655  0.655  0.655


# 3
This record from Alexandria via LeMat-Bulk describes an optimized crystal structure of TaTl. The functional is PBE-GGA.

Results
The energy of formation is 0.59 eV per atom. Its density of states at the Fermi level is 0.47 states/eV/atom. The volume comes out at 21.17 A^3/atom. The raw total energy comes out at -26.08 eV/cell. The offset from the most stable computed form comes out at 0.261 eV/f.u.

a b c (Å): 3.007 5.368 5.246
angles (deg): 90.00 90.00 90.00
Element x y z (fractional)
Ta  0.500  0.500  0.857
Tl  0.000  0.500  0.347
Ta  0.000  0.000  0.977
Tl  0.500  0.000  0.486